# 1
# Y2In3Pd (PBE, optimized geometry)
data_Y2In3Pd
_chemical_formula_sum 'Y2 In3 Pd1'
_symmetry_space_group_name_H-M 'P m m 2'
_symmetry_Int_Tables_number 25
_symmetry_space_group_name_Hall 'P 2 -2'
_cell_length_a 3.576
_cell_length_b 4.851
_cell_length_c 8.373
_cell_angle_alpha 90.00
_cell_angle_beta 90.00
_cell_angle_gamma 90.00
loop_
_atom_site_label
_atom_site_type_symbol
_atom_site_fract_x
_atom_site_fract_y
_atom_site_fract_z
Y1 Y 0.000 0.000 0.000
Y2 Y 0.000 0.500 0.461
In1 In 0.500 0.000 0.628
In2 In 0.500 0.500 0.152
In3 In 0.500 0.500 0.810
Pd1 Pd 0.500 0.000 0.304
# crystal system	orthorhombic
# E_tot	-29.801	eV for the cell shown


# 2
# Y2InPd2 (PBE, optimized geometry)
data_Y2InPd2
_chemical_formula_sum 'Y4 In2 Pd4'
_symmetry_space_group_name_H-M 'P 4/m b m'
_symmetry_Int_Tables_number 127
_symmetry_space_group_name_Hall '-P 4 2ab'
_cell_length_a 8.280
_cell_length_b 8.280
_cell_length_c 3.449
_cell_angle_alpha 90.00
_cell_angle_beta 90.00
_cell_angle_gamma 90.00
loop_
_atom_site_label
_atom_site_type_symbol
_atom_site_fract_x
_atom_site_fract_y
_atom_site_fract_z
Y1 Y 0.159 0.341 0.000
In1 In 0.000 0.000 0.000
Pd1 Pd 0.130 0.630 0.500
# crystal system	tetragonal
# E_tot	-57.830	eV for the cell shown


# 3
# Y6In2Pd (PBE, optimized geometry)
data_Y6In2Pd
_chemical_formula_sum 'Y6 In2 Pd1'
_symmetry_space_group_name_H-M 'P -6 2 m'
_symmetry_Int_Tables_number 189
_symmetry_space_group_name_Hall 'P -6 -2'
_cell_length_a 8.7566
_cell_length_b 8.7566
_cell_length_c 3.8269
_cell_angle_alpha 90.00
_cell_angle_beta 90.00
_cell_angle_gamma 120.00
loop_
_atom_site_label
_atom_site_type_symbol
_atom_site_fract_x
_atom_site_fract_y
_atom_site_fract_z
Y1 Y 0.0000 0.3981 0.0000
Y2 Y 0.0000 0.7506 0.5000
In1 In 0.3333 0.6667 0.5000
Pd1 Pd 0.0000 0.0000 0.0000
# distance to the lowest polymorph of the same formula	0	meV per atom
# crystal system	hexagonal


# 4
# YInPd2 (PBE, optimized geometry)
data_YInPd2
_chemical_formula_sum 'Y1 In1 Pd2'
_symmetry_space_group_name_H-M 'P 4/m m m'
_symmetry_Int_Tables_number 123
_symmetry_space_group_name_Hall '-P 4 2'
_cell_length_a 3.481
_cell_length_b 3.481
_cell_length_c 6.569
_cell_angle_alpha 90.00
_cell_angle_beta 90.00
_cell_angle_gamma 90.00
loop_
_atom_site_label
_atom_site_type_symbol
_atom_site_fract_x
_atom_site_fract_y
_atom_site_fract_z
Y1 Y 0.000 0.000 0.000
In1 In 0.000 0.000 0.500
Pd1 Pd 0.500 0.500 0.267
# crystal system	tetragonal
# E_tot	-22.457	eV for the cell shown


# 5
# YInPd14 (PBE, optimized geometry)
data_YInPd14
_chemical_formula_sum 'Y1 In1 Pd14'
_symmetry_space_group_name_H-M 'P 4/m m m'
_symmetry_Int_Tables_number 123
_symmetry_space_group_name_Hall '-P 4 2'
_cell_length_a 5.711
_cell_length_b 5.711
_cell_length_c 7.967
_cell_angle_alpha 90.00
_cell_angle_beta 90.00
_cell_angle_gamma 90.00
loop_
_atom_site_label
_atom_site_type_symbol
_atom_site_fract_x
_atom_site_fract_y
_atom_site_fract_z
Y1 Y 0.000 0.000 0.000
In1 In 0.500 0.500 0.000
Pd1 Pd 0.000 0.000 0.500
Pd2 Pd 0.000 0.500 0.000
Pd3 Pd 0.000 0.500 0.500
Pd4 Pd 0.252 0.252 0.256
Pd5 Pd 0.500 0.500 0.500
# crystal system	tetragonal
# E_tot	-86.719	eV for the cell shown


# 6
# Y2In2Pd (PBE, optimized geometry)
data_Y2In2Pd
_chemical_formula_sum 'Y4 In4 Pd2'
_symmetry_space_group_name_H-M 'P 4/m b m'
_symmetry_Int_Tables_number 127
_symmetry_space_group_name_Hall '-P 4 2ab'
_cell_length_a 7.328
_cell_length_b 7.328
_cell_length_c 4.627
_cell_angle_alpha 90.00
_cell_angle_beta 90.00
_cell_angle_gamma 90.00
loop_
_atom_site_label
_atom_site_type_symbol
_atom_site_fract_x
_atom_site_fract_y
_atom_site_fract_z
Y1 Y 0.166 0.334 0.000
In1 In 0.141 0.641 0.500
Pd1 Pd 0.000 0.000 0.500
# crystal system	tetragonal
# E_tot	-52.557	eV for the cell shown


# 7
# Y6In2Pd (PBE, optimized geometry)
data_Y6In2Pd
_chemical_formula_sum 'Y12 In4 Pd2'
_symmetry_space_group_name_H-M 'P 1 21/c 1'
_symmetry_Int_Tables_number 14
_symmetry_space_group_name_Hall '-P 2ybc'
_cell_length_a 6.019
_cell_length_b 8.747
_cell_length_c 11.359
_cell_angle_alpha 90.00
_cell_angle_beta 119.43
_cell_angle_gamma 90.00
loop_
_atom_site_label
_atom_site_type_symbol
_atom_site_fract_x
_atom_site_fract_y
_atom_site_fract_z
Y1 Y 0.039 0.179 0.441
Y2 Y 0.350 0.674 0.440
Y3 Y 0.371 0.028 0.273
In1 In 0.173 0.126 0.750
Pd1 Pd 0.000 0.000 0.000
# distance to the lowest polymorph of the same formula	98	meV per atom
# crystal system	monoclinic


# 8
# YIn2Pd2 (PBE, optimized geometry)
data_YIn2Pd2
_chemical_formula_sum 'Y2 In4 Pd4'
_symmetry_space_group_name_H-M 'P 1 21/m 1'
_symmetry_Int_Tables_number 11
_symmetry_space_group_name_Hall '-P 2yb'
_cell_length_a 5.351
_cell_length_b 4.725
_cell_length_c 8.980
_cell_angle_alpha 90.00
_cell_angle_beta 106.29
_cell_angle_gamma 90.00
loop_
_atom_site_label
_atom_site_type_symbol
_atom_site_fract_x
_atom_site_fract_y
_atom_site_fract_z
Y1 Y 0.204 0.250 0.263
In1 In 0.217 0.250 0.626
In2 In 0.365 0.750 0.037
Pd1 Pd 0.100 0.250 0.906
Pd2 Pd 0.324 0.750 0.462
# distance to the lowest polymorph of the same formula	0	meV per atom
# crystal system	monoclinic


# 9
# Y2InPd2 (PBE, optimized geometry)
data_Y2InPd2
_chemical_formula_sum 'Y4 In2 Pd4'
_symmetry_space_group_name_H-M 'I 4/m m m'
_symmetry_Int_Tables_number 139
_symmetry_space_group_name_Hall '-I 4 2'
_cell_length_a 3.848
_cell_length_b 3.848
_cell_length_c 16.516
_cell_angle_alpha 90.00
_cell_angle_beta 90.00
_cell_angle_gamma 90.00
loop_
_atom_site_label
_atom_site_type_symbol
_atom_site_fract_x
_atom_site_fract_y
_atom_site_fract_z
Y1 Y 0.000 0.000 0.120
In1 In 0.000 0.000 0.500
Pd1 Pd 0.000 0.500 0.250
# crystal system	tetragonal
# E_tot	-57.517	eV for the cell shown


# 10
# Y6InPd2 (PBE, optimized geometry)
data_Y6InPd2
_chemical_formula_sum 'Y24 In4 Pd8'
_symmetry_space_group_name_H-M 'I m m m'
_symmetry_Int_Tables_number 71
_symmetry_space_group_name_Hall '-I 2 2'
_cell_length_a 9.526
_cell_length_b 9.828
_cell_length_c 10.444
_cell_angle_alpha 90.00
_cell_angle_beta 90.00
_cell_angle_gamma 90.00
loop_
_atom_site_label
_atom_site_type_symbol
_atom_site_fract_x
_atom_site_fract_y
_atom_site_fract_z
Y1 Y 0.000 0.199 0.237
Y2 Y 0.200 0.500 0.173
Y3 Y 0.211 0.317 0.500
In1 In 0.000 0.000 0.000
In2 In 0.000 0.000 0.500
Pd1 Pd 0.000 0.345 0.000
Pd2 Pd 0.000 0.500 0.368
# crystal system	orthorhombic
# E_tot	-227.568	eV for the cell shown


# 11
# YIn4Pd2 (PBE, optimized geometry)
data_YIn4Pd2
_chemical_formula_sum 'Y4 In16 Pd8'
_symmetry_space_group_name_H-M 'P n m a'
_symmetry_Int_Tables_number 62
_symmetry_space_group_name_Hall '-P 2ac 2n'
_cell_length_a 18.521
_cell_length_b 4.542
_cell_length_c 7.254
_cell_angle_alpha 90.00
_cell_angle_beta 90.00
_cell_angle_gamma 90.00
loop_
_atom_site_label
_atom_site_type_symbol
_atom_site_fract_x
_atom_site_fract_y
_atom_site_fract_z
Y1 Y 0.143 0.250 0.031
In1 In 0.034 0.750 0.857
In2 In 0.069 0.250 0.495
In3 In 0.186 0.750 0.327
In4 In 0.191 0.750 0.743
Pd1 Pd 0.041 0.750 0.246
Pd2 Pd 0.217 0.250 0.538
# crystal system	orthorhombic
# E_tot	-126.365	eV for the cell shown


# 12
# YIn2Pd2 (PBE, optimized geometry)
data_YIn2Pd2
_chemical_formula_sum 'Y2 In4 Pd4'
_symmetry_space_group_name_H-M 'C 1 2/m 1'
_symmetry_Int_Tables_number 12
_symmetry_space_group_name_Hall '-C 2y'
_cell_length_a 8.594
_cell_length_b 4.951
_cell_length_c 5.170
_cell_angle_alpha 90.00
_cell_angle_beta 106.94
_cell_angle_gamma 90.00
loop_
_atom_site_label
_atom_site_type_symbol
_atom_site_fract_x
_atom_site_fract_y
_atom_site_fract_z
Y1 Y 0.000 0.000 0.000
In1 In 0.231 0.500 0.327
Pd1 Pd 0.115 0.500 0.774
# distance to the lowest polymorph of the same formula	30	meV per atom
# crystal system	monoclinic